Model i:
Density functional theory data (PBEsol) for a relaxed K2CaY crystal.

a b c (Å): 5.210 5.210 13.393
angles (deg): 90.00 90.00 90.00
Space group I4/mmm (No. 139)
Unique sites:
K: 0.000 0.500 0.250
Ca: 0.000 0.000 0.000
Y: 0.000 0.000 0.500


Model ii:
Density functional theory data (PBEsol) for a relaxed K2CaY crystal.

a b c (Å): 3.7963 3.7963 42.9020
angles (deg): 90.00 90.00 120.00
Space group R-3m (No. 166, hexagonal axes)
Unique sites:
K: 0.0000 0.0000 0.2476
Ca: 0.0000 0.0000 0.0000
Y: 0.0000 0.0000 0.5000


How do the structures above rank in stability at the extremes? model ii comes first and model i comes last.